The following is a DFT calculation (GGA-PBEsol) of a relaxed BP2PbO crystal.

Cell and atoms, written as POSCAR:
```
BP2PbO
1.0
5.187 0.000 0.000
0.000 5.187 0.000
0.000 0.000 4.066
B P Pb O
1 2 1 1
Cartesian
0.000 0.000 0.000
0.000 2.594 2.033
2.594 0.000 2.033
2.594 2.594 2.033
2.594 2.594 0.000
```

Values from the calculation:
**Uncorrected formation energy**: 1.796 eV/atom
**Calculated total energy**: -3.7736 eV per atom
**Offset from the most stable computed form**: 1.630 eV per atom